# 1
VASP calculation (GGA-PBE) on crystalline NaTbPd2 at its relaxed geometry.

Cell: 6.8672 6.8672 6.8672 Å, 90.00 90.00 90.00°
Closest atoms and distances in Å follow each position.
Sites, in units of the cell vectors:
Na  0.0000  0.0000  0.0000  8 Pd 2.97
Na  0.0000  0.5000  0.5000  8 Pd 2.97
Na  0.5000  0.0000  0.5000  8 Pd 2.97
Na  0.5000  0.5000  0.0000  8 Pd 2.97
Tb  0.0000  0.0000  0.5000  8 Pd 2.97
Tb  0.0000  0.5000  0.0000  8 Pd 2.97
Tb  0.5000  0.0000  0.0000  8 Pd 2.97
Tb  0.5000  0.5000  0.5000  8 Pd 2.97
Pd  0.2500  0.2500  0.2500  4 Tb 2.97, 4 Na 2.97
Pd  0.2500  0.2500  0.7500  4 Tb 2.97, 4 Na 2.97
Pd  0.2500  0.7500  0.2500  4 Tb 2.97, 4 Na 2.97
Pd  0.2500  0.7500  0.7500  4 Tb 2.97, 4 Na 2.97
Pd  0.7500  0.2500  0.2500  4 Tb 2.97, 4 Na 2.97
Pd  0.7500  0.2500  0.7500  4 Tb 2.97, 4 Na 2.97
Pd  0.7500  0.7500  0.2500  4 Tb 2.97, 4 Na 2.97
Pd  0.7500  0.7500  0.7500  4 Tb 2.97, 4 Na 2.97

Output
Mass density = 8096 kg/m³
Calculated formation energy = -0.5065 eV/atom
Distance to the lowest polymorph of the same formula = 0.097 eV/f.u.

***

# 2
VASP calculation (GGA-PBE) on crystalline NaTbPd4 at its relaxed geometry.

Cell: 5.4013 5.4013 5.4013 Å, 60.00 60.00 60.00°
Closest atoms and distances in Å follow each position.
Sites, in units of the cell vectors:
Na  0.0000  0.0000  0.0000  12 Pd 3.17, 4 Tb 3.31
Tb  0.7500  0.7500  0.7500  12 Pd 3.17, 4 Na 3.31
Pd  0.3750  0.3750  0.3750  6 Pd 2.70
Pd  0.3750  0.3750  0.8751  6 Pd 2.70
Pd  0.3750  0.8751  0.3750  6 Pd 2.70
Pd  0.8751  0.3750  0.3750  6 Pd 2.70

Output
Mass density = 9055 kg/m³
Calculated formation energy = -0.5581 eV/atom

***

# 3
VASP calculation (GGA-PBE) on crystalline NaTbPd2 at its relaxed geometry.

Cell: 3.4528 3.4528 7.1888 Å, 90.00 90.00 90.00°
Closest atoms and distances in Å follow each position.
Sites, in units of the cell vectors:
Na  0.0000  0.0000  0.0000  8 Pd 3.13, 4 Na 3.45
Tb  0.0000  0.0000  0.5000  8 Pd 2.94
Pd  0.5000  0.5000  0.2725  4 Tb 2.94, 4 Na 3.13, 1 Pd 3.27
Pd  0.5000  0.5000  0.7275  4 Tb 2.94, 4 Na 3.13, 1 Pd 3.27

Output
Mass density = 7648 kg/m³
Calculated formation energy = -0.5307 eV/atom
Distance to the lowest polymorph of the same formula = 0.000 eV/f.u.

***

# 4
VASP calculation (GGA-PBE) on crystalline NaTc2Pd at its relaxed geometry.

Cell: 7.6521 7.6521 4.8633 Å, 90.00 90.00 90.00°
Closest atoms and distances in Å follow each position.
Sites, in units of the cell vectors:
Na  0.0000  0.0000  0.0000  2 Pd 2.43
Na  0.0000  0.5000  0.2500  2 Pd 2.43
Na  0.5000  0.0000  0.7500  2 Pd 2.43
Na  0.5000  0.5000  0.5000  2 Pd 2.43
Tc  0.2099  0.2500  0.6250  2 Tc 2.51, 2 Pd 2.57
Tc  0.2500  0.7099  0.8750  2 Tc 2.51, 2 Pd 2.57
Tc  0.2500  0.7901  0.3750  2 Tc 2.51, 2 Pd 2.57
Tc  0.2901  0.2500  0.1250  2 Tc 2.51, 2 Pd 2.57
Tc  0.7099  0.7500  0.1250  2 Tc 2.51, 2 Pd 2.57
Tc  0.7500  0.2099  0.3750  2 Tc 2.51, 2 Pd 2.57
Tc  0.7500  0.2901  0.8750  2 Tc 2.51, 2 Pd 2.57
Tc  0.7901  0.7500  0.6250  2 Tc 2.51, 2 Pd 2.57
Pd  0.0000  0.0000  0.5000  2 Na 2.43, 4 Tc 2.57
Pd  0.0000  0.5000  0.7500  2 Na 2.43, 4 Tc 2.57
Pd  0.5000  0.0000  0.2500  2 Na 2.43, 4 Tc 2.57
Pd  0.5000  0.5000  0.0000  2 Na 2.43, 4 Tc 2.57

Output
Mass density = 7590 kg/m³
Calculated formation energy = 1.0703 eV/atom
Distance to the lowest polymorph of the same formula = 0.061 eV/f.u.

***

# 5
VASP calculation (GGA-PBE) on crystalline NaTcPd at its relaxed geometry.

Cell: 5.3006 2.7449 7.0678 Å, 90.00 97.38 90.00°
Closest atoms and distances in Å follow each position.
Sites, in units of the cell vectors:
Na  0.0000  0.0000  0.0000  4 Pd 2.70-2.92, 4 Na 2.74-2.81
Na  0.1666  0.5000  0.3407  2 Pd 2.56-2.84, 4 Na 2.74-2.81
Tc  0.4853  0.0000  0.7194  1 Tc 2.25
Tc  0.6629  0.0000  0.4469  1 Tc 2.25
Pd  0.0275  0.5000  0.6748  3 Na 2.56-2.70, 4 Tc 2.72-2.77, 2 Pd 2.74
Pd  0.5432  0.5000  0.0895  2 Pd 2.74, 3 Na 2.84-2.92, 4 Tc 2.87-2.93

Output
Mass density = 7406 kg/m³
Calculated formation energy = 0.2838 eV/atom
Distance to the lowest polymorph of the same formula = 0.665 eV/f.u.

***

# 6
VASP calculation (GGA-PBE) on crystalline NaTc3Pd at its relaxed geometry.

Cell: 4.4242 4.4242 4.4242 Å, 90.00 90.00 90.00°
Closest atoms and distances in Å follow each position.
Sites, in units of the cell vectors:
Na  0.0000  0.0000  0.0000  6 Tc 2.21
Tc  0.0000  0.0000  0.5000  2 Na 2.21
Tc  0.0000  0.5000  0.0000  2 Na 2.21
Tc  0.5000  0.0000  0.0000  2 Na 2.21
Pd  0.5000  0.5000  0.5000  12 Tc 3.13

Output
Mass density = 8119 kg/m³
Calculated formation energy = 2.5156 eV/atom
Distance to the lowest polymorph of the same formula = 2.566 eV/f.u.

***

Quick rundown of E, same order as above: -4.590 -5.012 -4.614 -5.741 -5.342 -5.006 eV per atom